Entry 1:
First-principles (PBE-GGA) data for a relaxed structure of LiLuFeB, as listed in OQMD via LeMat-Bulk.

Distance to the lowest polymorph of the same formula ... 0 meV per atom
Magnetic moment ... 2.526 Bohr magnetons per cell
E_tot ... -20.51 eV per cell

abc: 4.1957 4.1957 4.1957
angles: 60.00 60.00 60.00
With the nearest neighbours (Å) after each atom.
Fractional positions:
1 Li 0.0000 0.0000 0.0000  4 Fe 2.57, 4 Lu 2.57
2 Lu 0.2500 0.2500 0.2500  4 Li 2.57, 4 B 2.57
3 Fe 0.7500 0.7500 0.7500  4 Li 2.57, 4 B 2.57
4 B 0.5000 0.5000 0.5000  4 Fe 2.57, 4 Lu 2.57

---

Entry 2:
First-principles (PBE-GGA) data for a relaxed structure of BaLuIr2, as listed in OQMD via LeMat-Bulk.

Magnetic moment ... 0.414 Bohr magnetons per cell
E_tot ... -22.95 eV per cell

abc: 4.9145 4.9145 4.9145
angles: 60.00 60.00 60.00
With the nearest neighbours (Å) after each atom.
Fractional positions:
1 Ba 0.0000 0.0000 0.0000  4 Ir 3.01, 4 Lu 3.01
2 Lu 0.2500 0.2500 0.2500  4 Ba 3.01, 4 Ir 3.01
3 Ir 0.5000 0.5000 0.5000  4 Ir 3.01, 4 Lu 3.01
4 Ir 0.7500 0.7500 0.7500  4 Ba 3.01, 4 Ir 3.01

---

Entry 3:
First-principles (PBE-GGA) data for a relaxed structure of Dy2ErIn3CuIr2, as listed in OQMD via LeMat-Bulk.

Magnetic moment ... 0.003 Bohr magnetons per cell
E_tot ... -49.10 eV per cell

abc: 3.7845 7.6144 7.6144
angles: 119.78 90.00 90.00
With the nearest neighbours (Å) after each atom.
Fractional positions:
1 Dy 0.0000 0.2065 0.7935  4 Ir 2.98-2.99, 1 Cu 3.15, 4 In 3.16-3.34
2 Dy 0.0000 0.7935 0.2065  4 Ir 2.98-2.99, 1 Cu 3.15, 4 In 3.16-3.34
3 Er 0.0000 0.6190 0.6190  4 Ir 2.96, 1 Cu 3.15, 2 In 3.16
4 In 0.5000 0.2069 0.4615  2 Cu 2.71, 2 Ir 2.88-2.90
5 In 0.5000 0.4615 0.2069  2 Cu 2.71, 2 Ir 2.88-2.90
6 In 0.5000 0.9511 0.9511  2 Cu 2.72, 2 Ir 2.88
7 Cu 0.0000 0.2068 0.2068  6 In 2.71-2.72
8 Ir 0.5000 0.5401 0.8712  3 In 2.88-2.90, 2 Er 2.96, 4 Dy 2.98-2.99
9 Ir 0.5000 0.8712 0.5401  3 In 2.88-2.90, 2 Er 2.96, 4 Dy 2.98-2.99

---

Entry 4:
First-principles (PBE-GGA) data for a relaxed structure of Hf2MoPt, as listed in OQMD via LeMat-Bulk.

Energy relative to the elements ... -658 meV/atom
Magnetic moment ... 0.000 Bohr magnetons per cell
E_tot ... -39.45 eV per cell

abc: 3.3435 3.3435 6.4871
angles: 90.00 90.00 90.00
With the nearest neighbours (Å) after each atom.
Fractional positions:
1 Hf 0.0000 0.0000 0.2442  4 Mo 2.85, 4 Pt 2.89, 1 Hf 3.17
2 Hf 0.0000 0.0000 0.7558  4 Mo 2.85, 4 Pt 2.89, 1 Hf 3.17
3 Mo 0.5000 0.5000 0.0000  8 Hf 2.85
4 Pt 0.5000 0.5000 0.5000  8 Hf 2.89

---

Entry 5:
First-principles (PBE-GGA) data for a relaxed structure of SrGaNi, as listed in OQMD via LeMat-Bulk.

Magnetic moment ... 0.052 Bohr magnetons per cell
E_tot ... -8.46 eV per cell

abc: 4.8919 4.8919 4.8919
angles: 60.00 60.00 60.00
With the nearest neighbours (Å) after each atom.
Fractional positions:
1 Sr 0.0000 0.0000 0.0000  4 Ga 3.00, 4 Ni 3.00
2 Ga 0.7500 0.7500 0.7500  4 Sr 3.00
3 Ni 0.2500 0.2500 0.2500  4 Sr 3.00

---

Entry 6:
First-principles (PBE-GGA) data for a relaxed structure of HAuO, as listed in OQMD via LeMat-Bulk.

E_tot ... -23.14 eV per cell

abc: 3.0889 5.8357 6.0516
angles: 116.29 90.43 105.07
With the nearest neighbours (Å) after each atom.
Fractional positions:
1 H 0.0000 0.0000 0.0000  1 H 0.76
2 H 0.1083 0.1181 0.9748  1 H 0.76
3 Au 0.0641 0.5588 0.4886  4 O 2.04-2.05
4 Au 0.5641 0.5588 0.9886  2 O 2.04
5 O 0.4929 0.4120 0.6116  3 Au 2.04-2.05
6 O 0.6353 0.7055 0.3656  3 Au 2.04-2.05

---

Entry 7:
First-principles (PBE-GGA) data for a relaxed structure of Li6CuHg, as listed in OQMD via LeMat-Bulk.

E_tot ... -16.51 eV per cell

abc: 4.4431 4.4431 6.2514
angles: 90.00 90.00 90.00
With the nearest neighbours (Å) after each atom.
Fractional positions:
1 Li 0.0000 0.0000 0.0000  8 Li 2.67
2 Li 0.0000 0.5000 0.2376  5 Li 2.67-2.97, 2 Cu 2.67, 2 Hg 2.76
3 Li 0.0000 0.5000 0.7624  5 Li 2.67-2.97, 2 Cu 2.67, 2 Hg 2.76
4 Li 0.5000 0.0000 0.2376  5 Li 2.67-2.97, 2 Cu 2.67, 2 Hg 2.76
5 Li 0.5000 0.0000 0.7624  5 Li 2.67-2.97, 2 Cu 2.67, 2 Hg 2.76
6 Li 0.5000 0.5000 0.5000  8 Li 2.76
7 Cu 0.5000 0.5000 0.0000  8 Li 2.67
8 Hg 0.0000 0.0000 0.5000  8 Li 2.76

---

Entry 8:
First-principles (PBE-GGA) data for a relaxed structure of Y3Zr3CuTe2, as listed in OQMD via LeMat-Bulk.

Distance to the lowest polymorph of the same formula ... 153 meV per atom
Magnetic moment ... 0.046 Bohr magnetons per cell
E_tot ... -59.13 eV per cell

abc: 8.1648 8.1648 3.7307
angles: 90.00 90.00 120.00
With the nearest neighbours (Å) after each atom.
Fractional positions:
1 Y 0.0000 0.2500 0.0000  2 Cu 2.77
2 Y 0.2500 0.0000 0.0000  2 Cu 2.77
3 Y 0.7500 0.7500 0.0000  2 Cu 2.77
4 Zr 0.0000 0.5909 0.5000  4 Te 3.10, 1 Cu 3.34, 6 Y 3.35-3.46
5 Zr 0.4091 0.4091 0.5000  4 Te 3.10, 1 Cu 3.34, 6 Y 3.35-3.46
6 Zr 0.5909 0.0000 0.5000  4 Te 3.10, 1 Cu 3.34, 6 Y 3.35-3.46
7 Cu 0.0000 0.0000 0.5000  6 Y 2.77
8 Te 0.3333 0.6667 0.0000  6 Zr 3.10, 3 Y 3.12
9 Te 0.6667 0.3333 0.0000  6 Zr 3.10, 3 Y 3.12

---

Entry 9:
First-principles (PBE-GGA) data for a relaxed structure of CuTcIrPb, as listed in OQMD via LeMat-Bulk.

Distance to the lowest polymorph of the same formula ... 0 meV per atom
Magnetic moment ... 0.262 Bohr magnetons per cell
E_tot ... -24.45 eV per cell

abc: 4.5225 4.5225 4.5225
angles: 60.00 60.00 60.00
With the nearest neighbours (Å) after each atom.
Fractional positions:
1 Cu 0.0000 0.0000 0.0000  4 Pb 2.77, 4 Ir 2.77
2 Tc 0.5000 0.5000 0.5000  4 Pb 2.77, 4 Ir 2.77
3 Ir 0.2500 0.2500 0.2500  4 Tc 2.77, 4 Cu 2.77
4 Pb 0.7500 0.7500 0.7500  4 Tc 2.77, 4 Cu 2.77

---

Entry 10:
First-principles (PBE-GGA) data for a relaxed structure of NpCu, as listed in OQMD via LeMat-Bulk.

Energy relative to the elements ... 1482 meV/atom
Magnetic moment ... 4.863 Bohr magnetons per cell
E_tot ... -13.52 eV per cell

abc: 4.2593 4.2593 4.2593
angles: 60.00 60.00 60.00
With the nearest neighbours (Å) after each atom.
Fractional positions:
1 Np 0.0000 0.0000 0.0000  4 Cu 2.61
2 Cu 0.2500 0.2500 0.2500  4 Np 2.61

---

Entry 11:
First-principles (PBE-GGA) data for a relaxed structure of Rb2NdTlBr6, as listed in OQMD via LeMat-Bulk.

Magnetic moment ... 0.001 Bohr magnetons per cell
E_tot ... -35.05 eV per cell

abc: 8.5308 8.5308 8.5308
angles: 60.00 60.00 60.00
With the nearest neighbours (Å) after each atom.
Fractional positions:
1 Rb 0.2500 0.2500 0.2500  12 Br 4.27
2 Rb 0.7500 0.7500 0.7500  12 Br 4.27
3 Nd 0.0000 0.0000 0.0000  6 Br 2.88
4 Tl 0.5000 0.5000 0.5000  6 Br 3.16
5 Br 0.2385 0.2385 0.7615  1 Nd 2.88, 1 Tl 3.16
6 Br 0.2385 0.7615 0.2385  1 Nd 2.88, 1 Tl 3.16
7 Br 0.2385 0.7615 0.7615  1 Nd 2.88, 1 Tl 3.16
8 Br 0.7615 0.2385 0.2385  1 Nd 2.88, 1 Tl 3.16
9 Br 0.7615 0.2385 0.7615  1 Nd 2.88, 1 Tl 3.16
10 Br 0.7615 0.7615 0.2385  1 Nd 2.88, 1 Tl 3.16

---

Entry 12:
First-principles (PBE-GGA) data for a relaxed structure of HoW, as listed in OQMD via LeMat-Bulk.

Distance to the lowest polymorph of the same formula ... 943 meV per atom
Energy relative to the elements ... 1741 meV/atom
Magnetic moment ... 0.035 Bohr magnetons per cell
E_tot ... -14.05 eV per cell

abc: 4.0803 4.0803 4.0803
angles: 60.00 60.00 60.00
With the nearest neighbours (Å) after each atom.
Fractional positions:
1 Ho 0.0000 0.0000 0.0000  6 W 2.89
2 W 0.5000 0.5000 0.5000  6 Ho 2.89

---

> What is the formula in the eighth record?

Y3Zr3CuTe2